{"formula": "Cs2Pa3S8Br", "functional": "PBE", "state": "relaxed", "lattice_angstrom": [[8.0921, 0.0000, 0.0000], [4.0460, 7.0079, 0.0000], [4.0460, 2.3360, 8.9332]], "species": ["Cs", "Cs", "Pa", "Pa", "Pa", "S", "S", "S", "S", "S", "S", "S", "S", "Br"], "frac_coords": [[0.1428, 0.1428, 0.5717], [0.5028, 0.5028, 0.4917], [0.5023, 0.9970, 0.9984], [0.9970, 0.5023, 0.9984], [0.5023, 0.5023, 0.9984], [0.2806, 0.2806, 0.1582], [0.7190, 0.7190, 0.8431], [0.2350, 0.2350, 0.8434], [0.6866, 0.2350, 0.8434], [0.2350, 0.6866, 0.8434], [0.7691, 0.3128, 0.1490], [0.3128, 0.7691, 0.1490], [0.7691, 0.7691, 0.1490], [0.8384, 0.8384, 0.4849]], "spacegroup": "R3m, No. 160", "crystal_system": "trigonal", "raw_formation_energy_kj_per_mol_atoms": -143.2, "mass_density_g_cm3": 4.25, "total_energy_ev_per_atom": -6.12}